Record 1
The following is a PBE calculation of a relaxed structure of Pa4CoSeS2, from the Alexandria database.

The structure in CIF format:
```
data_Pa4CoSeS2
_cell_length_a 3.763
_cell_length_b 6.906
_cell_length_c 7.053
_cell_angle_alpha 71.68
_cell_angle_beta 90.00
_cell_angle_gamma 90.00
_symmetry_space_group_name_H-M 'P 1'
_symmetry_Int_Tables_number 1
loop_
_symmetry_equiv_pos_as_xyz
'x,y,z'
loop_
_atom_site_label
_atom_site_fract_x
_atom_site_fract_y
_atom_site_fract_z
Pa1 0.000 0.737 0.778
Pa2 0.000 0.263 0.222
Pa3 0.500 0.762 0.235
Pa4 0.500 0.238 0.765
Co1 0.500 0.500 0.000
Se1 0.000 0.500 0.500
S1 0.000 0.000 0.000
S2 0.500 0.000 0.500
```

Calculated values
- Formation energy from raw total energies: -109 kJ/mol of atoms

---

Record 2
The following is a PBE calculation of a relaxed structure of Pm4As3N, from the Alexandria database.

The structure in CIF format:
```
data_Pm4As3N
_cell_length_a 5.983
_cell_length_b 8.274
_cell_length_c 9.533
_cell_angle_alpha 90.00
_cell_angle_beta 90.00
_cell_angle_gamma 90.00
_symmetry_space_group_name_H-M 'P 1'
_symmetry_Int_Tables_number 1
loop_
_symmetry_equiv_pos_as_xyz
'x,y,z'
loop_
_atom_site_label
_atom_site_fract_x
_atom_site_fract_y
_atom_site_fract_z
Pm1 0.071 0.884 0.000
Pm2 0.617 0.179 0.000
Pm3 0.071 0.314 0.222
Pm4 0.571 0.686 0.278
Pm5 0.117 0.821 0.500
Pm6 0.571 0.116 0.500
Pm7 0.571 0.686 0.722
Pm8 0.071 0.314 0.778
As1 0.560 0.841 0.000
As2 0.060 0.665 0.238
As3 0.560 0.335 0.262
As4 0.060 0.159 0.500
As5 0.560 0.335 0.738
As6 0.060 0.665 0.762
N1 0.005 0.177 0.000
N2 0.505 0.823 0.500
```

Calculated values
- Formation energy from raw total energies: -120 kJ/mol of atoms

---

Record 3
The following is a PBE calculation of a relaxed structure of VCdRu, from the Alexandria database.

The structure in CIF format:
```
data_VCdRu
_cell_length_a 4.279
_cell_length_b 4.413
_cell_length_c 6.609
_cell_angle_alpha 100.17
_cell_angle_beta 90.00
_cell_angle_gamma 119.00
_symmetry_space_group_name_H-M 'P 1'
_symmetry_Int_Tables_number 1
loop_
_symmetry_equiv_pos_as_xyz
'x,y,z'
loop_
_atom_site_label
_atom_site_fract_x
_atom_site_fract_y
_atom_site_fract_z
Ru1 0.074 0.149 0.819
Ru2 0.926 0.851 0.181
Cd1 0.361 0.722 0.614
Cd2 0.639 0.278 0.386
V1 0.744 0.488 0.859
V2 0.256 0.512 0.141
```

Calculated values
- Energy above the lowest structure with this stoichiometry: 217 meV per atom
- Energy of formation from the pure elements: 0.70 eV/f.u.

---

Record 4
The following is a PBE calculation of a relaxed structure of Ho2Zn2Au, from the Alexandria database.

The structure in CIF format:
```
data_Ho2Zn2Au
_cell_length_a 4.441
_cell_length_b 5.633
_cell_length_c 9.792
_cell_angle_alpha 89.36
_cell_angle_beta 76.89
_cell_angle_gamma 66.78
_symmetry_space_group_name_H-M 'P 1'
_symmetry_Int_Tables_number 1
loop_
_symmetry_equiv_pos_as_xyz
'x,y,z'
loop_
_atom_site_label
_atom_site_fract_x
_atom_site_fract_y
_atom_site_fract_z
Ho1 0.683 0.296 0.337
Ho2 0.919 0.272 0.890
Ho3 0.317 0.704 0.663
Ho4 0.081 0.728 0.110
Zn1 0.074 0.290 0.562
Zn2 0.635 0.841 0.889
Zn3 0.926 0.710 0.438
Zn4 0.365 0.159 0.111
Au1 0.606 0.121 0.667
Au2 0.394 0.879 0.333
```

Calculated values
- Energy of formation from the pure elements: -2.52 eV/f.u.